[1]
Compound: MgTe2
Source: the Alexandria database
Functional: PBE-GGA
Structure: optimized geometry Values from VASP.

Properties
For the calculated total energy, the calculation gives -8.7 eV/f.u.

```
&SYSTEM
  ibrav = 0, nat = 12, ntyp = 2
/
ATOMIC_SPECIES
Mg 24.30 Mg.upf
Te 127.60 Te.upf
ATOMIC_POSITIONS crystal
Mg 0.0000 0.0927 0.2500
Mg 0.0000 0.9073 0.7500
Mg 0.5000 0.4073 0.7500
Mg 0.5000 0.5927 0.2500
Te 0.0000 0.2658 0.7500
Te 0.0000 0.4107 0.2500
Te 0.0000 0.5893 0.7500
Te 0.0000 0.7342 0.2500
Te 0.5000 0.0893 0.7500
Te 0.5000 0.2342 0.2500
Te 0.5000 0.7658 0.7500
Te 0.5000 0.9107 0.2500
CELL_PARAMETERS angstrom
4.0625 0.0000 0.0000
0.0000 28.5217 0.0000
0.0000 0.0000 4.0514
```

---

[2]
Compound: Mg5Te
Source: the Alexandria database
Functional: PBE-GGA
Structure: optimized geometry Values from VASP.

Properties
For the calculated total energy, the calculation gives -10.9 eV/f.u.

```
&SYSTEM
  ibrav = 0, nat = 6, ntyp = 2
/
ATOMIC_SPECIES
Mg 24.30 Mg.upf
Te 127.60 Te.upf
ATOMIC_POSITIONS crystal
Mg 0.0000 0.0000 0.0000
Mg 0.1252 0.6250 0.6250
Mg 0.6250 0.1252 0.6250
Mg 0.6250 0.6250 0.1252
Mg 0.6250 0.6250 0.6250
Te 0.2500 0.2500 0.2500
CELL_PARAMETERS angstrom
0.0000 4.1984 4.1984
4.1984 0.0000 4.1984
4.1984 4.1984 0.0000
```

---

[3]
Compound: MgTe5
Source: the Alexandria database
Functional: PBE-GGA
Structure: optimized geometry Values from VASP.

Properties
For the calculated total energy, the calculation gives -16.9 eV/f.u.

```
&SYSTEM
  ibrav = 0, nat = 6, ntyp = 2
/
ATOMIC_SPECIES
Mg 24.30 Mg.upf
Te 127.60 Te.upf
ATOMIC_POSITIONS crystal
Mg 0.0000 0.0000 0.0000
Te 0.0000 0.0000 0.3366
Te 0.0000 0.0000 0.6634
Te 0.5000 0.5000 0.1342
Te 0.5000 0.5000 0.5000
Te 0.5000 0.5000 0.8658
CELL_PARAMETERS angstrom
3.8052 0.0000 0.0000
0.0000 3.8052 0.0000
0.0000 0.0000 11.5715
```

---

[4]
Compound: MgTe2
Source: the Alexandria database
Functional: PBE-GGA
Structure: optimized geometry Values from VASP.

Properties
For the calculated total energy, the calculation gives -9.3 eV/f.u.

```
&SYSTEM
  ibrav = 0, nat = 6, ntyp = 2
/
ATOMIC_SPECIES
Mg 24.30 Mg.upf
Te 127.60 Te.upf
ATOMIC_POSITIONS crystal
Mg 0.3333 0.6667 0.2500
Mg 0.6667 0.3333 0.7500
Te 0.0000 0.0000 0.1214
Te 0.0000 0.0000 0.3786
Te 0.0000 0.0000 0.6214
Te 0.0000 0.0000 0.8786
CELL_PARAMETERS angstrom
4.3250 0.0000 0.0000
-2.1625 3.7456 0.0000
0.0000 0.0000 12.3385
```

---

[5]
Compound: Mg3Te
Source: the Alexandria database
Functional: PBE-GGA
Structure: optimized geometry Values from VASP.

Properties
For the calculated total energy, the calculation gives -8.7 eV/f.u.

```
&SYSTEM
  ibrav = 0, nat = 16, ntyp = 2
/
ATOMIC_SPECIES
Mg 24.30 Mg.upf
Te 127.60 Te.upf
ATOMIC_POSITIONS crystal
Mg 0.0000 0.0000 0.1319
Mg 0.0000 0.0000 0.8681
Mg 0.0000 0.5000 0.0000
Mg 0.0000 0.5000 0.2500
Mg 0.0000 0.5000 0.5000
Mg 0.0000 0.5000 0.7500
Mg 0.5000 0.0000 0.0000
Mg 0.5000 0.0000 0.2500
Mg 0.5000 0.0000 0.5000
Mg 0.5000 0.0000 0.7500
Mg 0.5000 0.5000 0.3681
Mg 0.5000 0.5000 0.6319
Te 0.0000 0.0000 0.3919
Te 0.0000 0.0000 0.6081
Te 0.5000 0.5000 0.1081
Te 0.5000 0.5000 0.8919
CELL_PARAMETERS angstrom
4.3659 0.0000 0.0000
0.0000 4.3659 0.0000
0.0000 0.0000 20.7081
```

---

[6]
Compound: MgTe2
Source: the Alexandria database
Functional: PBE-GGA
Structure: optimized geometry Values from VASP.

Properties
For the calculated total energy, the calculation gives -8.6 eV/f.u.

```
&SYSTEM
  ibrav = 0, nat = 9, ntyp = 2
/
ATOMIC_SPECIES
Mg 24.30 Mg.upf
Te 127.60 Te.upf
ATOMIC_POSITIONS crystal
Mg 0.0000 0.0000 0.0000
Mg 0.3333 0.6667 0.6667
Mg 0.6667 0.3333 0.3333
Te 0.0000 0.0000 0.5824
Te 0.0000 0.0000 0.7509
Te 0.3333 0.6667 0.2491
Te 0.3333 0.6667 0.4176
Te 0.6667 0.3333 0.0843
Te 0.6667 0.3333 0.9157
CELL_PARAMETERS angstrom
3.5898 0.0000 0.0000
-1.7949 3.1089 0.0000
0.0000 0.0000 25.1166
```

---

[7]
Compound: MgTe2
Source: the Alexandria database
Functional: PBE-GGA
Structure: optimized geometry Values from VASP.

Properties
For the calculated total energy, the calculation gives -8.2 eV/f.u.

```
&SYSTEM
  ibrav = 0, nat = 6, ntyp = 2
/
ATOMIC_SPECIES
Mg 24.30 Mg.upf
Te 127.60 Te.upf
ATOMIC_POSITIONS crystal
Mg 0.3333 0.6667 0.2500
Mg 0.6667 0.3333 0.7500
Te 0.0000 0.0000 0.0000
Te 0.0000 0.0000 0.5000
Te 0.3333 0.6667 0.7500
Te 0.6667 0.3333 0.2500
CELL_PARAMETERS angstrom
5.5091 0.0000 0.0000
-2.7546 4.7710 0.0000
0.0000 0.0000 6.1108
```

---

[8]
Compound: Mg3Te5
Source: the Alexandria database
Functional: PBE-GGA
Structure: optimized geometry Values from VASP.

Properties
For the calculated total energy, the calculation gives -22.9 eV/f.u.

```
&SYSTEM
  ibrav = 0, nat = 16, ntyp = 2
/
ATOMIC_SPECIES
Mg 24.30 Mg.upf
Te 127.60 Te.upf
ATOMIC_POSITIONS crystal
Mg 0.0000 0.0000 0.0000
Mg 0.0000 0.2646 0.5000
Mg 0.0000 0.7354 0.5000
Mg 0.5000 0.2354 0.5000
Mg 0.5000 0.5000 0.0000
Mg 0.5000 0.7646 0.5000
Te 0.0000 0.5000 0.0000
Te 0.2372 0.0000 0.5000
Te 0.2500 0.2500 0.0000
Te 0.2500 0.7500 0.0000
Te 0.2628 0.5000 0.5000
Te 0.5000 0.0000 0.0000
Te 0.7372 0.5000 0.5000
Te 0.7500 0.2500 0.0000
Te 0.7500 0.7500 0.0000
Te 0.7628 0.0000 0.5000
CELL_PARAMETERS angstrom
8.1563 0.0000 0.0000
0.0000 8.2491 0.0000
0.0000 0.0000 8.0549
```

---

[9]
Compound: Mg3Te
Source: the Alexandria database
Functional: PBE-GGA
Structure: optimized geometry Values from VASP.

Properties
For the calculated total energy, the calculation gives -8.6 eV/f.u.

```
&SYSTEM
  ibrav = 0, nat = 16, ntyp = 2
/
ATOMIC_SPECIES
Mg 24.30 Mg.upf
Te 127.60 Te.upf
ATOMIC_POSITIONS crystal
Mg 0.0000 0.0773 0.2500
Mg 0.0000 0.9227 0.7500
Mg 0.2483 0.3478 0.2500
Mg 0.2483 0.6522 0.7500
Mg 0.2517 0.1522 0.7500
Mg 0.2517 0.8478 0.2500
Mg 0.5000 0.4227 0.7500
Mg 0.5000 0.5773 0.2500
Mg 0.7483 0.1522 0.7500
Mg 0.7483 0.8478 0.2500
Mg 0.7517 0.3478 0.2500
Mg 0.7517 0.6522 0.7500
Te 0.0000 0.3715 0.7500
Te 0.0000 0.6285 0.2500
Te 0.5000 0.1285 0.2500
Te 0.5000 0.8715 0.7500
CELL_PARAMETERS angstrom
6.1323 0.0000 0.0000
0.0000 11.8479 0.0000
0.0000 0.0000 5.5625
```

---

[10]
Compound: Mg6Te7
Source: the Alexandria database
Functional: PBE-GGA
Structure: optimized geometry Values from VASP.

Properties
For the calculated total energy, the calculation gives -31.0 eV/f.u.

```
&SYSTEM
  ibrav = 0, nat = 13, ntyp = 2
/
ATOMIC_SPECIES
Mg 24.30 Mg.upf
Te 127.60 Te.upf
ATOMIC_POSITIONS crystal
Mg 0.0422 0.0422 0.0422
Mg 0.1959 0.1959 0.1959
Mg 0.3322 0.3322 0.3322
Mg 0.6678 0.6678 0.6678
Mg 0.8041 0.8041 0.8041
Mg 0.9578 0.9578 0.9578
Te 0.0685 0.5648 0.5648
Te 0.4352 0.4352 0.9315
Te 0.4352 0.9315 0.4352
Te 0.5000 0.5000 0.5000
Te 0.5648 0.0685 0.5648
Te 0.5648 0.5648 0.0685
Te 0.9315 0.4352 0.4352
CELL_PARAMETERS angstrom
3.2978 1.9040 11.5804
-3.2978 1.9040 11.5804
0.0000 -3.8080 11.5804
```

---

Q: Among the records above, which one has the highest calculated total energy?
A: number 7

---

Q: calculated total energy of number 2 (Mg5Te)?
A: -10.9 eV/f.u.

---

Q: Which of these has the lowest calculated total energy?
A: Mg6Te7

---

Q: Number 10 is which compound?
A: Mg6Te7